Density functional theory data (PBE-GGA) for an optimized crystal structure of LaOsN3.

Properties
Formation energy (no corrections) (eV per atom): -0.24
Density of states at the Fermi level (states/eV/atom): 0.376
Energy (eV/atom): -8.46

Cell and atoms, written as CIF:
```
data_LaOsN3
_chemical_formula_sum 'La2 Os2 N6'
_symmetry_space_group_name_H-M 'P 1 m 1'
_symmetry_Int_Tables_number 6
_symmetry_space_group_name_Hall 'P -2y'
_cell_length_a 6.461
_cell_length_b 3.907
_cell_length_c 6.725
_cell_angle_alpha 90.00
_cell_angle_beta 112.17
_cell_angle_gamma 90.00
loop_
_atom_site_label
_atom_site_fract_x
_atom_site_fract_y
_atom_site_fract_z
La1 0.000 0.000 0.000
La2 0.330 0.500 0.657
Os1 0.608 0.500 0.227
Os2 0.722 0.000 0.482
N1 0.019 0.000 0.614
N2 0.086 0.500 0.256
N3 0.385 0.167 0.013
N4 0.594 0.000 0.684
N5 0.871 0.500 0.171
```

***

Density functional theory data (PBE-GGA) for an optimized crystal structure of La2OsN3.

Properties
Formation energy (no corrections) (eV per atom): -0.84
Density of states at the Fermi level (states/eV/atom): 0.442
Energy (eV/atom): -8.52

Cell and atoms, written as CIF:
```
data_La2OsN3
_chemical_formula_sum 'La16 Os8 N24'
_symmetry_space_group_name_H-M 'C 1 2/c 1'
_symmetry_Int_Tables_number 15
_symmetry_space_group_name_Hall '-C 2yc'
_cell_length_a 5.422
_cell_length_b 11.327
_cell_length_c 12.166
_cell_angle_alpha 90.00
_cell_angle_beta 94.60
_cell_angle_gamma 90.00
loop_
_atom_site_label
_atom_site_fract_x
_atom_site_fract_y
_atom_site_fract_z
La1 0.223 0.202 0.355
La2 0.237 0.105 0.931
Os1 0.206 0.493 0.826
N1 0.000 0.006 0.250
N2 0.000 0.376 0.250
N3 0.205 0.321 0.868
N4 0.246 0.098 0.537
```

***

Density functional theory data (PBE-GGA) for an optimized crystal structure of La3Os2N6.

Properties
Formation energy (no corrections) (eV per atom): -0.72
Density of states at the Fermi level (states/eV/atom): 0.465
Energy (eV/atom): -8.65

Cell and atoms, written as CIF:
```
data_La3Os2N6
_chemical_formula_sum 'La6 Os4 N12'
_symmetry_space_group_name_H-M 'I 4/m m m'
_symmetry_Int_Tables_number 139
_symmetry_space_group_name_Hall '-I 4 2'
_cell_length_a 3.922
_cell_length_b 3.922
_cell_length_c 20.217
_cell_angle_alpha 90.00
_cell_angle_beta 90.00
_cell_angle_gamma 90.00
loop_
_atom_site_label
_atom_site_fract_x
_atom_site_fract_y
_atom_site_fract_z
La1 0.000 0.000 0.000
La2 0.000 0.000 0.186
Os1 0.000 0.000 0.408
N1 0.000 0.000 0.302
N2 0.000 0.500 0.087
```

***

Density functional theory data (PBE-GGA) for an optimized crystal structure of LaOsN3.

Properties
Formation energy (no corrections) (eV per atom): -0.30
Density of states at the Fermi level (states/eV/atom): 0.000
Energy (eV/atom): -8.53

Cell and atoms, written as CIF:
```
data_LaOsN3
_chemical_formula_sum 'La2 Os2 N6'
_symmetry_space_group_name_H-M 'P 1'
_symmetry_Int_Tables_number 1
_symmetry_space_group_name_Hall 'P 1'
_cell_length_a 4.124
_cell_length_b 6.127
_cell_length_c 6.897
_cell_angle_alpha 93.32
_cell_angle_beta 90.55
_cell_angle_gamma 97.57
loop_
_atom_site_label
_atom_site_fract_x
_atom_site_fract_y
_atom_site_fract_z
La1 0.000 0.000 0.000
La2 0.500 0.112 0.505
Os1 0.087 0.460 0.852
Os2 0.605 0.476 0.068
N1 0.029 0.268 0.642
N2 0.433 0.704 0.884
N3 0.485 0.880 0.791
N4 0.525 0.188 0.164
N5 0.813 0.669 0.261
N6 0.933 0.834 0.355
```

***

Density functional theory data (PBE-GGA) for an optimized crystal structure of LaOsN3.

Properties
Formation energy (no corrections) (eV per atom): -0.29
Density of states at the Fermi level (states/eV/atom): 0.000
Energy (eV/atom): -8.52

Cell and atoms, written as CIF:
```
data_LaOsN3
_chemical_formula_sum 'La4 Os4 N12'
_symmetry_space_group_name_H-M 'C 1 c 1'
_symmetry_Int_Tables_number 9
_symmetry_space_group_name_Hall 'C -2yc'
_cell_length_a 6.387
_cell_length_b 11.591
_cell_length_c 4.490
_cell_angle_alpha 90.00
_cell_angle_beta 103.56
_cell_angle_gamma 90.00
loop_
_atom_site_label
_atom_site_fract_x
_atom_site_fract_y
_atom_site_fract_z
La1 0.000 0.143 0.000
Os1 0.081 0.446 0.906
N1 0.162 0.077 0.570
N2 0.233 0.312 0.986
N3 0.358 0.050 0.653
```

***

Density functional theory data (PBE-GGA) for an optimized crystal structure of LaOsN3.

Properties
Formation energy (no corrections) (eV per atom): -0.23
Density of states at the Fermi level (states/eV/atom): 0.186
Energy (eV/atom): -8.46

Cell and atoms, written as CIF:
```
data_LaOsN3
_chemical_formula_sum 'La2 Os2 N6'
_symmetry_space_group_name_H-M 'P 1'
_symmetry_Int_Tables_number 1
_symmetry_space_group_name_Hall 'P 1'
_cell_length_a 3.831
_cell_length_b 5.896
_cell_length_c 7.014
_cell_angle_alpha 70.75
_cell_angle_beta 87.11
_cell_angle_gamma 84.96
loop_
_atom_site_label
_atom_site_fract_x
_atom_site_fract_y
_atom_site_fract_z
La1 0.000 0.000 0.000
La2 0.049 0.716 0.584
Os1 0.499 0.510 0.025
Os2 0.979 0.383 0.291
N1 0.328 0.664 0.265
N2 0.344 0.101 0.415
N3 0.438 0.307 0.887
N4 0.531 0.817 0.842
N5 0.641 0.634 0.350
N6 0.674 0.103 0.411
```

***

Q: Which formula does entry 4 have?
A: LaOsN3

***

Q: Look up the energy of the third one.
A: -8.65 eV/atom